# Er3Mg2Sc3 PBE optimized geometry
# Total magnetic moment in μB per formula unit: 0.0
# Polymorph energy (0 for the lowest one) in eV/f.u.: 0.00
# D(E_F) in states/eV/f.u.: 10.5
data_Er3Mg2Sc3
_cell_length_a 4.778
_cell_length_b 4.843
_cell_length_c 9.743
_cell_angle_alpha 104.39
_cell_angle_beta 104.19
_cell_angle_gamma 90.00
_space_group_name_H-M_alt 'P 1'
_space_group_IT_number 1
_space_group_name_Hall 'P 1'
loop_
_atom_site_label
_atom_site_fract_x
_atom_site_fract_y
_atom_site_fract_z
Er1 0.127 0.127 0.253
Er2 0.000 0.500 0.000
Er3 0.873 0.873 0.747
Mg1 0.750 0.250 0.501
Mg2 0.250 0.750 0.499
Sc1 0.629 0.629 0.258
Sc2 0.371 0.371 0.742
Sc3 0.500 0.000 0.000

---

# Er4MgSc3 PBE optimized geometry
# Total magnetic moment in μB per formula unit: 1.3
# D(E_F) in states/eV/f.u.: 15.8
data_Er4MgSc3
_cell_length_a 3.218
_cell_length_b 8.450
_cell_length_c 8.450
_cell_angle_alpha 96.91
_cell_angle_beta 90.00
_cell_angle_gamma 90.00
_space_group_name_H-M_alt 'P 1'
_space_group_IT_number 1
_space_group_name_Hall 'P 1'
loop_
_atom_site_label
_atom_site_fract_x
_atom_site_fract_y
_atom_site_fract_z
Er1 0.000 0.751 0.751
Er2 0.500 0.247 0.753
Er3 0.000 0.249 0.249
Er4 0.500 0.753 0.247
Mg1 0.500 0.000 0.000
Sc1 0.000 0.000 0.500
Sc2 0.500 0.500 0.500
Sc3 0.000 0.500 0.000

---

Number 1: formation enthalpy at 0 K -0.005 eV/atom. Number 2: formation enthalpy at 0 K 0.413 eV/atom.